Record 1
Computed, not measured: a relaxed structure of AgHgRh2 at the GGA-PBE level of DFT.

Properties
As for the space group: No. 119. The value obtained for the formation energy is 24 kJ/mol of atoms.

POSCAR file:
```
AgHgRh2
1.0
-2.044 2.044 3.986
2.044 -2.044 3.986
2.044 2.044 -3.986
Ag Hg Rh
1 1 2
Cartesian
0.000 0.000 0.000 Ag
0.000 2.044 1.993 Hg
2.044 0.000 1.993 Rh
0.000 0.000 3.986 Rh
```

Record 2
Computed, not measured: a relaxed structure of LaSm3Dy3 at the GGA-PBE level of DFT.

Properties
As for the space group: No. 176. As for the energy above the most stable polymorph in this dataset: 0.0 meV per atom. The value obtained for the formation energy is 2 kJ/mol of atoms.

POSCAR file:
```
LaSm3Dy3
1.0
9.685 0.000 0.000
-4.842 8.387 0.000
0.000 0.000 5.791
La Sm Dy
2 6 6
Cartesian
0.000 5.592 1.448 La
4.842 2.796 4.344 La
-2.082 5.203 4.344 Sm
1.377 3.983 4.344 Sm
4.138 0.799 1.448 Sm
0.704 7.589 4.344 Sm
3.465 4.404 1.448 Sm
6.924 3.184 1.448 Sm
-3.492 6.818 1.448 Dy
0.684 1.954 1.448 Dy
2.034 0.385 4.344 Dy
2.808 8.003 1.448 Dy
4.159 6.433 4.344 Dy
8.335 1.569 4.344 Dy
```

Record 3
Computed, not measured: a relaxed structure of CeEuTh2 at the GGA-PBE level of DFT.

Properties
As for the space group: No. 166. As for the energy above the most stable polymorph in this dataset: 62.2 meV per atom. The value obtained for the formation energy is 23 kJ/mol of atoms.

POSCAR file:
```
CeEuTh2
1.0
1.760 1.016 12.491
-1.760 1.016 12.491
0.000 -2.032 12.491
Ce Eu Th
1 1 2
Cartesian
0.000 0.000 0.000 Ce
0.000 0.000 18.737 Eu
0.000 0.000 15.326 Th
0.000 0.000 22.148 Th
```

Record 4
Computed, not measured: a relaxed structure of CsNaCdHg at the GGA-PBE level of DFT.

Properties
As for the space group: No. 8. As for the energy above the most stable polymorph in this dataset: 0.0 meV per atom. The value obtained for the formation energy is -14 kJ/mol of atoms.

POSCAR file:
```
CsNaCdHg
1.0
4.557 -2.639 0.000
4.557 2.639 0.000
-3.079 0.000 6.963
Cs Na Cd Hg
1 1 1 1
Cartesian
0.000 0.000 0.000 Cs
-0.005 0.000 3.842 Na
6.068 0.000 2.711 Cd
3.035 0.000 2.749 Hg
```

Record 5
Computed, not measured: a relaxed structure of KSb2OsI at the GGA-PBE level of DFT.

Properties
As for the space group: No. 123. As for the energy above the most stable polymorph in this dataset: 1996.4 meV per atom. The calculation puts the formation energy without anion corrections at 2.145 eV per atom.

POSCAR file:
```
KSb2OsI
1.0
5.964 0.000 0.000
0.000 5.964 0.000
0.000 0.000 5.869
K Sb Os I
1 2 1 1
Cartesian
0.000 0.000 0.000 K
0.000 2.982 0.000 Sb
2.982 0.000 0.000 Sb
2.982 2.982 2.935 Os
0.000 0.000 2.935 I
```

Record 6
Computed, not measured: a relaxed structure of MgHg2RuSe at the GGA-PBE level of DFT.

Properties
As for the space group: No. 123. The calculation puts the formation energy without anion corrections at 1.017 eV per atom.

POSCAR file:
```
MgHg2RuSe
1.0
5.324 0.000 0.000
0.000 5.324 0.000
0.000 0.000 4.796
Mg Hg Ru Se
1 2 1 1
Cartesian
0.000 0.000 0.000 Mg
0.000 2.662 2.398 Hg
2.662 0.000 2.398 Hg
2.662 2.662 0.000 Ru
0.000 0.000 2.398 Se
```

Record 7
Computed, not measured: a relaxed structure of Zn2TeW at the GGA-PBE level of DFT.

Properties
As for the space group: No. 123. The calculation puts the formation energy without anion corrections at 0.469 eV per atom.

POSCAR file:
```
Zn2TeW
1.0
2.892 0.000 0.000
0.000 2.892 0.000
0.000 0.000 9.728
Zn Te W
2 1 1
Cartesian
0.000 0.000 1.844 Zn
0.000 0.000 7.884 Zn
1.446 1.446 4.864 Te
1.446 1.446 0.000 W
```

Record 8
Computed, not measured: a relaxed structure of K2CdSN at the GGA-PBE level of DFT.

Properties
As for the space group: No. 123. The calculation puts the formation energy without anion corrections at 0.003 eV per atom.

POSCAR file:
```
K2CdSN
1.0
5.657 0.000 0.000
0.000 5.657 0.000
0.000 0.000 4.056
K Cd S N
2 1 1 1
Cartesian
0.000 2.828 0.000 K
2.828 0.000 0.000 K
0.000 0.000 2.028 Cd
2.828 2.828 2.028 S
0.000 0.000 0.000 N
```

Record 9
Computed, not measured: a relaxed structure of TbPm2Rh2 at the GGA-PBE level of DFT.

Properties
As for the space group: No. 36. As for the energy above the most stable polymorph in this dataset: 77.4 meV per atom. The value obtained for the formation energy is -53 kJ/mol of atoms.

POSCAR file:
```
TbPm2Rh2
1.0
2.024 -8.695 0.000
2.024 8.695 0.000
0.000 0.000 7.301
Tb Pm Rh
2 4 4
Cartesian
2.024 6.640 3.651 Tb
2.024 -6.640 0.000 Tb
2.024 3.346 2.789 Pm
2.024 0.554 4.840 Pm
2.024 -0.554 1.189 Pm
2.024 -3.346 6.440 Pm
2.024 7.755 6.286 Rh
2.024 3.313 5.866 Rh
2.024 -3.313 2.215 Rh
2.024 -7.755 2.635 Rh
```

Record 10
Computed, not measured: a relaxed structure of B2IrRh at the GGA-PBE level of DFT.

Properties
As for the space group: No. 160. As for the energy above the most stable polymorph in this dataset: 0.0 meV per atom. The value obtained for the formation energy is -8 kJ/mol of atoms.

POSCAR file:
```
B2IrRh
1.0
1.543 0.891 5.249
-1.543 0.891 5.249
0.000 -1.782 5.249
B Ir Rh
2 1 1
Cartesian
0.000 0.000 0.000 B
0.000 0.000 2.537 B
0.000 0.000 9.257 Ir
0.000 0.000 6.533 Rh
```

Record 11
Computed, not measured: a relaxed structure of PaNi4Pt8 at the GGA-PBE level of DFT.

Properties
As for the space group: No. 139. The value obtained for the formation energy is -36 kJ/mol of atoms.

POSCAR file:
```
PaNi4Pt8
1.0
-4.389 4.389 2.571
4.389 -4.389 2.571
4.389 4.389 -2.571
Pa Ni Pt
1 4 8
Cartesian
0.000 0.000 0.000 Pa
2.194 2.194 -1.286 Ni
2.194 -2.194 1.286 Ni
-2.194 2.194 1.286 Ni
2.194 2.194 1.286 Ni
2.950 0.000 0.000 Pt
5.827 0.000 0.000 Pt
4.389 2.465 0.000 Pt
0.000 2.950 0.000 Pt
2.465 4.389 0.000 Pt
1.924 0.000 2.571 Pt
0.000 5.827 0.000 Pt
0.000 1.924 2.571 Pt
```

Record 12
Computed, not measured: a relaxed structure of ScNiHRh2 at the GGA-PBE level of DFT.

Properties
As for the space group: No. 123. As for the energy above the most stable polymorph in this dataset: 69.2 meV per atom.

POSCAR file:
```
ScNiHRh2
1.0
3.889 0.000 0.000
0.000 3.889 0.000
0.000 0.000 4.023
Sc Ni H Rh
1 1 1 2
Cartesian
0.000 0.000 0.000 Sc
1.944 1.944 0.000 Ni
0.000 0.000 2.011 H
0.000 1.944 2.011 Rh
1.944 0.000 2.011 Rh
```

Record 13
Computed, not measured: a relaxed structure of TaPd2Au at the GGA-PBE level of DFT.

Properties
As for the space group: No. 122. As for the energy above the most stable polymorph in this dataset: 453.3 meV per atom. The value obtained for the formation energy is 15 kJ/mol of atoms.

POSCAR file:
```
TaPd2Au
1.0
-3.628 3.628 2.773
3.628 -3.628 2.773
3.628 3.628 -2.773
Ta Pd Au
2 4 2
Cartesian
0.000 0.000 0.000 Ta
0.000 3.628 1.387 Ta
5.441 1.649 -0.693 Pd
1.649 1.814 0.693 Pd
-1.814 1.978 2.080 Pd
1.978 1.814 3.466 Pd
3.628 0.000 1.387 Au
0.000 0.000 2.773 Au
```

Record 14
Computed, not measured: a relaxed structure of Ba2ZnRhPb at the GGA-PBE level of DFT.

Properties
As for the space group: No. 123. As for the energy above the most stable polymorph in this dataset: 0.0 meV per atom. The value obtained for the formation energy is -18 kJ/mol of atoms.

POSCAR file:
```
Ba2ZnRhPb
1.0
6.005 0.000 0.000
0.000 6.005 0.000
0.000 0.000 4.845
Ba Zn Rh Pb
2 1 1 1
Cartesian
0.000 3.003 0.000 Ba
3.003 0.000 0.000 Ba
0.000 0.000 2.423 Zn
0.000 0.000 0.000 Rh
3.003 3.003 2.423 Pb
```

Record 15
Computed, not measured: a relaxed structure of SrTaP2N6 at the GGA-PBE level of DFT.

Properties
As for the space group: No. 15. The calculation puts the formation energy without anion corrections at -0.537 eV per atom.

POSCAR file:
```
SrTaP2N6
1.0
4.646 -5.161 0.000
4.646 5.161 0.000
-0.607 0.000 4.952
Sr Ta P N
2 2 4 12
Cartesian
4.190 4.212 3.714 Sr
4.494 -4.212 1.238 Sr
4.494 2.251 1.238 Ta
4.190 -2.251 3.714 Ta
2.390 0.813 3.516 P
2.694 -0.813 1.040 P
5.990 0.813 3.912 P
6.294 -0.813 1.436 P
0.865 1.371 3.545 N
3.315 1.899 4.297 N
2.859 0.655 1.874 N
1.169 -1.371 1.068 N
2.555 -0.655 4.350 N
5.066 1.899 3.132 N
3.618 -1.899 1.821 N
6.129 0.655 0.602 N
7.515 1.371 3.884 N
5.825 -0.655 3.078 N
5.369 -1.899 0.655 N
7.819 -1.371 1.408 N
```

Record 16
Computed, not measured: a relaxed structure of TmAl3Cr at the GGA-PBE level of DFT.

Properties
As for the space group: No. 194. The value obtained for the formation energy is -12 kJ/mol of atoms.

POSCAR file:
```
TmAl3Cr
1.0
6.277 0.000 0.000
-3.139 5.436 0.000
0.000 0.000 5.308
Tm Al Cr
2 6 2
Cartesian
0.000 3.624 1.327 Tm
3.139 1.812 3.981 Tm
0.000 2.064 3.981 Al
-1.352 4.405 3.981 Al
1.787 1.032 1.327 Al
1.352 4.405 3.981 Al
4.490 1.032 1.327 Al
3.139 3.373 1.327 Al
0.000 0.000 0.000 Cr
0.000 0.000 2.654 Cr
```

Record 17
Computed, not measured: a relaxed structure of Cs3InBi3 at the GGA-PBE level of DFT.

Properties
As for the space group: No. 12. The value obtained for the formation energy is -31 kJ/mol of atoms.

POSCAR file:
```
Cs3InBi3
1.0
7.066 -2.938 0.000
7.066 2.938 0.000
-7.016 0.000 15.878
Cs In Bi
6 2 6
Cartesian
-1.610 0.000 4.308 Cs
-1.555 0.000 9.206 Cs
-1.060 0.000 13.820 Cs
8.176 0.000 2.058 Cs
8.670 0.000 6.672 Cs
8.726 0.000 11.570 Cs
4.119 0.000 1.408 In
2.997 0.000 14.469 In
-5.318 0.000 15.351 Bi
2.710 0.000 4.261 Bi
2.595 0.000 9.129 Bi
4.521 0.000 6.748 Bi
4.406 0.000 11.617 Bi
12.434 0.000 0.526 Bi
```

Record 18
Computed, not measured: a relaxed structure of Tl3VPb2Se6 at the GGA-PBE level of DFT.

Properties
As for the space group: No. 12. The calculation puts the formation energy without anion corrections at -0.479 eV per atom.

POSCAR file:
```
Tl3VPb2Se6
1.0
3.668 -6.300 0.000
3.668 6.300 0.000
-2.433 0.000 7.282
Tl V Pb Se
3 1 2 6
Cartesian
0.000 0.000 0.000 Tl
3.668 2.173 0.000 Tl
3.668 -2.173 0.000 Tl
2.452 0.000 3.641 V
2.452 4.217 3.641 Pb
2.452 -4.217 3.641 Pb
1.400 1.790 2.175 Se
0.364 0.000 5.179 Se
1.400 -1.790 2.175 Se
3.504 1.790 5.107 Se
4.540 0.000 2.103 Se
3.504 -1.790 5.107 Se
```

Record 19
Computed, not measured: a relaxed structure of Na2MnBiP at the GGA-PBE level of DFT.

Properties
As for the space group: No. 123. The value obtained for the formation energy is 73 kJ/mol of atoms.

POSCAR file:
```
Na2MnBiP
1.0
5.397 0.000 0.000
0.000 5.397 0.000
0.000 0.000 5.016
Na Mn Bi P
2 1 1 1
Cartesian
0.000 2.698 0.000 Na
2.698 0.000 0.000 Na
0.000 0.000 0.000 Mn
0.000 0.000 2.508 Bi
2.698 2.698 2.508 P
```

Record 20
Computed, not measured: a relaxed structure of BaZr2 at the GGA-PBE level of DFT.

Properties
As for the space group: No. 8. As for the energy above the most stable polymorph in this dataset: 154.6 meV per atom. The value obtained for the formation energy is 46 kJ/mol of atoms.

POSCAR file:
```
BaZr2
1.0
6.343 -1.649 0.000
6.343 1.649 0.000
-0.209 0.000 9.047
Ba Zr
2 4
Cartesian
0.000 0.000 0.000 Ba
2.987 0.000 6.474 Ba
4.470 0.000 3.187 Zr
7.758 0.000 3.241 Zr
9.489 0.000 1.005 Zr
12.484 0.000 5.219 Zr
```

| no. | DOS(E_F) (states/eV/f.u.) | uncorrected energy (eV per cell) |
| --- | --- | --- |
| 1 | 4.59 | -16.86 |
| 2 | 12.26 | -65.43 |
| 3 | 7.66 | -30.09 |
| 4 | 1.59 | -3.96 |
| 5 | 7.66 | -11.40 |
| 6 | 4.76 | -9.87 |
| 7 | 2.05 | -16.77 |
| 8 | 3.19 | -15.55 |
| 9 | 2.77 | -63.14 |
| 10 | 1.03 | -29.89 |
| 11 | 17.57 | -85.74 |
| 12 | 5.44 | -32.39 |
| 13 | 3.53 | -49.77 |
| 14 | 6.26 | -17.10 |
| 15 | 2.20 | -159.36 |
| 16 | 3.59 | -51.92 |
| 17 | 2.47 | -38.42 |
| 18 | 4.48 | -50.30 |
| 19 | 3.94 | -17.31 |
| 20 | 4.33 | -35.20 |